Crystalline CeMnNiH6 at its relaxed geometry, computed with PBE.

Cell: 4.4375 4.4375 4.3567 Å, 90.00 90.00 120.00°
Space group P-6m2 (No. 187)
Symmetry-distinct sites (fractional):
Ce  0.0000  0.0000  0.0000 x1
Mn  0.6667  0.3333  0.5000 x1
Ni  0.3333  0.6667  0.5000 x1
H  0.0034  0.5017  0.2457 x6

For the total energy, the calculation gives -43.87 eV/cell. The value obtained for the magnetization is 2.194 μB per formula unit.